[1]
The following is a GGA-PBE calculation of a relaxed structure of GeSe2NF, from the Alexandria database.

Calculated values
- Raw total energy: -3.255 eV per atom
- Magnetic moment: 2.42 μB per formula unit
- ΔE_f (raw): 106.3 kJ per mole of atoms

a b c (Å): 4.4976 4.4976 4.6548
angles (deg): 90.00 90.00 90.00
Last column: nearest neighbours and their distance in Å.
Space group P4/mmm (No. 123)
Symmetry-distinct sites (fractional):
1 Ge 0.0000 0.0000 0.0000 [1 per cell]  4 N 3.18, 8 Se 3.24
2 Se 0.0000 0.5000 0.5000 [2 per cell]  2 F 2.25
3 N 0.5000 0.5000 0.0000 [1 per cell]  2 F 2.33
4 F 0.5000 0.5000 0.5000 [1 per cell]  4 Se 2.25, 2 N 2.33

=====

[2]
The following is a GGA-PBE calculation of a relaxed structure of Ac3Sm2YSe6, from the Alexandria database.

Calculated values
- Raw total energy: -5.922 eV per atom
- Magnetic moment: 0.00 μB per formula unit
- ΔE_f (raw): -176.3 kJ per mole of atoms

a b c (Å): 7.3366 12.7515 7.6345
angles (deg): 90.00 108.80 90.00
Last column: nearest neighbours and their distance in Å.
Space group C2/m (No. 12)
Symmetry-distinct sites (fractional):
1 Ac 0.0000 0.0000 0.0000 [2 per cell]  6 Se 3.14-3.17
2 Ac 0.0000 0.3310 0.0000 [4 per cell]  6 Se 3.14-3.16
3 Sm 0.0000 0.1665 0.5000 [4 per cell]  6 Se 2.96-2.97
4 Y 0.0000 0.5000 0.5000 [2 per cell]  6 Se 2.91-2.92
5 Se 0.2391 0.3358 0.7256 [8 per cell]  1 Y 2.91, 2 Sm 2.96, 3 Ac 3.14-3.16
6 Se 0.2478 0.0000 0.7282 [4 per cell]  1 Y 2.92, 2 Sm 2.97, 3 Ac 3.15-3.17